Entry 1:
# LaGaCu (PBE-GGA, optimized geometry)
# space-group type	I4mm, No. 107
data_LaGaCu
_chemical_formula_sum 'La1 Ga1 Cu1'
_space_group_name_H-M_alt 'P 1'
_space_group_IT_number 1
_space_group_name_Hall 'P 1'
_cell_length_a 6.1058
_cell_length_b 6.1058
_cell_length_c 6.1058
_cell_angle_alpha 148.33
_cell_angle_beta 148.33
_cell_angle_gamma 45.40
loop_
_atom_site_label
_atom_site_type_symbol
_atom_site_fract_x
_atom_site_fract_y
_atom_site_fract_z
La1 La 0.0000 0.0000 0.0000
Ga1 Ga 0.7023 0.7023 0.0000
Cu1 Cu 0.3069 0.3069 0.0000

---

Entry 2:
# LaGa6Cu12 (PBE-GGA, optimized geometry)
# space-group type	R-3m, No. 166
data_LaGa6Cu12
_chemical_formula_sum 'La1 Ga6 Cu12'
_space_group_name_H-M_alt 'P 1'
_space_group_IT_number 1
_space_group_name_Hall 'P 1'
_cell_length_a 6.8554
_cell_length_b 6.8554
_cell_length_c 6.8554
_cell_angle_alpha 103.86
_cell_angle_beta 103.86
_cell_angle_gamma 103.86
loop_
_atom_site_label
_atom_site_type_symbol
_atom_site_fract_x
_atom_site_fract_y
_atom_site_fract_z
La1 La 0.0000 0.0000 0.0000
Ga1 Ga 0.2746 0.2746 0.7032
Ga2 Ga 0.2746 0.7032 0.2746
Ga3 Ga 0.2968 0.7254 0.7254
Ga4 Ga 0.7032 0.2746 0.2746
Ga5 Ga 0.7254 0.2968 0.7254
Ga6 Ga 0.7254 0.7254 0.2968
Cu1 Cu 0.1122 0.5000 0.8878
Cu2 Cu 0.1122 0.8878 0.5000
Cu3 Cu 0.1349 0.3897 0.3897
Cu4 Cu 0.3897 0.1349 0.3897
Cu5 Cu 0.3897 0.3897 0.1349
Cu6 Cu 0.5000 0.1122 0.8878
Cu7 Cu 0.5000 0.8878 0.1122
Cu8 Cu 0.6103 0.6103 0.8651
Cu9 Cu 0.6103 0.8651 0.6103
Cu10 Cu 0.8651 0.6103 0.6103
Cu11 Cu 0.8878 0.1122 0.5000
Cu12 Cu 0.8878 0.5000 0.1122

---

Entry 3:
# La3Ga2Cu2 (PBE-GGA, optimized geometry)
# space-group type	Pbcm, No. 57
data_La3Ga2Cu2
_chemical_formula_sum 'La12 Ga8 Cu8'
_space_group_name_H-M_alt 'P 1'
_space_group_IT_number 1
_space_group_name_Hall 'P 1'
_cell_length_a 5.8527
_cell_length_b 8.3616
_cell_length_c 13.5541
_cell_angle_alpha 90.00
_cell_angle_beta 90.00
_cell_angle_gamma 90.00
loop_
_atom_site_label
_atom_site_type_symbol
_atom_site_fract_x
_atom_site_fract_y
_atom_site_fract_z
La1 La 0.1348 0.1110 0.1000
La2 La 0.1348 0.1110 0.4000
La3 La 0.1348 0.3890 0.6000
La4 La 0.1348 0.3890 0.9000
La5 La 0.3515 0.7447 0.7500
La6 La 0.3515 0.7553 0.2500
La7 La 0.6485 0.2447 0.7500
La8 La 0.6485 0.2553 0.2500
La9 La 0.8652 0.6110 0.1000
La10 La 0.8652 0.6110 0.4000
La11 La 0.8652 0.8890 0.6000
La12 La 0.8652 0.8890 0.9000
Ga1 Ga 0.1601 0.0979 0.7500
Ga2 Ga 0.1601 0.4021 0.2500
Ga3 Ga 0.3516 0.7500 0.0000
Ga4 Ga 0.3516 0.7500 0.5000
Ga5 Ga 0.6484 0.2500 0.0000
Ga6 Ga 0.6484 0.2500 0.5000
Ga7 Ga 0.8399 0.5979 0.7500
Ga8 Ga 0.8399 0.9021 0.2500
Cu1 Cu 0.3849 0.0341 0.5900
Cu2 Cu 0.3849 0.0341 0.9100
Cu3 Cu 0.3849 0.4659 0.0900
Cu4 Cu 0.3849 0.4659 0.4100
Cu5 Cu 0.6151 0.5341 0.5900
Cu6 Cu 0.6151 0.5341 0.9100
Cu7 Cu 0.6151 0.9659 0.0900
Cu8 Cu 0.6151 0.9659 0.4100

---

Entry 4:
# LaGa6Cu2 (PBE-GGA, optimized geometry)
# space-group type	Fd-3m, No. 227
data_LaGa6Cu2
_chemical_formula_sum 'La2 Ga12 Cu4'
_space_group_name_H-M_alt 'P 1'
_space_group_IT_number 1
_space_group_name_Hall 'P 1'
_cell_length_a 8.3045
_cell_length_b 8.3045
_cell_length_c 8.3045
_cell_angle_alpha 60.00
_cell_angle_beta 60.00
_cell_angle_gamma 60.00
loop_
_atom_site_label
_atom_site_type_symbol
_atom_site_fract_x
_atom_site_fract_y
_atom_site_fract_z
La1 La 0.1250 0.1250 0.1250
La2 La 0.8750 0.8750 0.8750
Ga1 Ga 0.1394 0.1394 0.6106
Ga2 Ga 0.1394 0.6106 0.1394
Ga3 Ga 0.1394 0.6106 0.6106
Ga4 Ga 0.3894 0.3894 0.8606
Ga5 Ga 0.3894 0.8606 0.3894
Ga6 Ga 0.3894 0.8606 0.8606
Ga7 Ga 0.6106 0.1394 0.1394
Ga8 Ga 0.6106 0.1394 0.6106
Ga9 Ga 0.6106 0.6106 0.1394
Ga10 Ga 0.8606 0.3894 0.3894
Ga11 Ga 0.8606 0.3894 0.8606
Ga12 Ga 0.8606 0.8606 0.3894
Cu1 Cu 0.0000 0.5000 0.5000
Cu2 Cu 0.5000 0.0000 0.5000
Cu3 Cu 0.5000 0.5000 0.0000
Cu4 Cu 0.5000 0.5000 0.5000

---

Entry 5:
# La3GaCu (PBE-GGA, optimized geometry)
# distance to the lowest polymorph of the same formula	0.14	eV per formula unit
# space-group type	P2_1/c, No. 14
data_La3GaCu
_chemical_formula_sum 'La12 Ga4 Cu4'
_space_group_name_H-M_alt 'P 1'
_space_group_IT_number 1
_space_group_name_Hall 'P 1'
_cell_length_a 8.5139
_cell_length_b 5.7420
_cell_length_c 12.6049
_cell_angle_alpha 90.00
_cell_angle_beta 114.11
_cell_angle_gamma 90.00
loop_
_atom_site_label
_atom_site_type_symbol
_atom_site_fract_x
_atom_site_fract_y
_atom_site_fract_z
La1 La 0.0094 0.2188 0.4053
La2 La 0.0094 0.2812 0.9053
La3 La 0.2750 0.6423 0.3726
La4 La 0.2750 0.8577 0.8726
La5 La 0.4492 0.5275 0.1426
La6 La 0.4492 0.9725 0.6426
La7 La 0.5508 0.0275 0.3574
La8 La 0.5508 0.4725 0.8574
La9 La 0.7250 0.1423 0.1274
La10 La 0.7250 0.3577 0.6274
La11 La 0.9906 0.7188 0.0947
La12 La 0.9906 0.7812 0.5947
Ga1 Ga 0.1443 0.2171 0.1994
Ga2 Ga 0.1443 0.2829 0.6994
Ga3 Ga 0.8557 0.7171 0.3006
Ga4 Ga 0.8557 0.7829 0.8006
Cu1 Cu 0.3195 0.0124 0.1097
Cu2 Cu 0.3195 0.4876 0.6097
Cu3 Cu 0.6805 0.5124 0.3903
Cu4 Cu 0.6805 0.9876 0.8903

---

Entry 6:
# LaGaCu11 (PBE-GGA, optimized geometry)
# space-group type	C2/m, No. 12
data_LaGaCu11
_chemical_formula_sum 'La1 Ga1 Cu11'
_space_group_name_H-M_alt 'P 1'
_space_group_IT_number 1
_space_group_name_Hall 'P 1'
_cell_length_a 6.4866
_cell_length_b 6.4866
_cell_length_c 6.6464
_cell_angle_alpha 97.58
_cell_angle_beta 97.58
_cell_angle_gamma 135.72
loop_
_atom_site_label
_atom_site_type_symbol
_atom_site_fract_x
_atom_site_fract_y
_atom_site_fract_z
La1 La 0.0000 0.0000 0.0000
Ga1 Ga 0.5000 0.5000 0.5000
Cu1 Cu 0.0000 0.0000 0.5000
Cu2 Cu 0.0000 0.5000 0.0000
Cu3 Cu 0.0194 0.6581 0.6466
Cu4 Cu 0.2747 0.5055 0.7716
Cu5 Cu 0.3419 0.9806 0.3534
Cu6 Cu 0.4945 0.7253 0.2284
Cu7 Cu 0.5000 0.0000 0.0000
Cu8 Cu 0.5055 0.2747 0.7716
Cu9 Cu 0.6581 0.0194 0.6466
Cu10 Cu 0.7253 0.4945 0.2284
Cu11 Cu 0.9806 0.3419 0.3534

---

Entry 7:
# La3GaCu (PBE-GGA, optimized geometry)
# distance to the lowest polymorph of the same formula	0.00	eV per formula unit
# space-group type	Cmcm, No. 63
data_La3GaCu
_chemical_formula_sum 'La6 Ga2 Cu2'
_space_group_name_H-M_alt 'P 1'
_space_group_IT_number 1
_space_group_name_Hall 'P 1'
_cell_length_a 10.0538
_cell_length_b 10.0538
_cell_length_c 5.3523
_cell_angle_alpha 90.00
_cell_angle_beta 90.00
_cell_angle_gamma 149.02
loop_
_atom_site_label
_atom_site_type_symbol
_atom_site_fract_x
_atom_site_fract_y
_atom_site_fract_z
La1 La 0.0636 0.9364 0.7500
La2 La 0.2476 0.7524 0.7500
La3 La 0.4285 0.5715 0.7500
La4 La 0.5715 0.4285 0.2500
La5 La 0.7524 0.2476 0.2500
La6 La 0.9364 0.0636 0.2500
Ga1 Ga 0.1542 0.8458 0.2500
Ga2 Ga 0.8458 0.1542 0.7500
Cu1 Cu 0.3465 0.6535 0.2500
Cu2 Cu 0.6535 0.3465 0.7500

---

Entry 8:
# LiLa2Ga3Cu4 (PBE-GGA, optimized geometry)
# space-group type	P-4m2, No. 115
data_LiLa2Ga3Cu4
_chemical_formula_sum 'Li1 La2 Ga3 Cu4'
_space_group_name_H-M_alt 'P 1'
_space_group_IT_number 1
_space_group_name_Hall 'P 1'
_cell_length_a 4.3179
_cell_length_b 4.3179
_cell_length_c 10.0665
_cell_angle_alpha 90.00
_cell_angle_beta 90.00
_cell_angle_gamma 90.00
loop_
_atom_site_label
_atom_site_type_symbol
_atom_site_fract_x
_atom_site_fract_y
_atom_site_fract_z
Li1 Li 0.0000 0.0000 0.0000
La1 La 0.0000 0.5000 0.7400
La2 La 0.5000 0.0000 0.2600
Ga1 Ga 0.0000 0.5000 0.3726
Ga2 Ga 0.5000 0.0000 0.6274
Ga3 Ga 0.5000 0.5000 0.0000
Cu1 Cu 0.0000 0.0000 0.5000
Cu2 Cu 0.0000 0.5000 0.1285
Cu3 Cu 0.5000 0.0000 0.8715
Cu4 Cu 0.5000 0.5000 0.5000

---

Entry 9:
# Li3La2GaCu12 (PBE-GGA, optimized geometry)
# space-group type	R-3m, No. 166
data_Li3La2GaCu12
_chemical_formula_sum 'Li3 La2 Ga1 Cu12'
_space_group_name_H-M_alt 'P 1'
_space_group_IT_number 1
_space_group_name_Hall 'P 1'
_cell_length_a 9.7347
_cell_length_b 9.7347
_cell_length_c 9.7347
_cell_angle_alpha 36.61
_cell_angle_beta 36.61
_cell_angle_gamma 36.61
loop_
_atom_site_label
_atom_site_type_symbol
_atom_site_fract_x
_atom_site_fract_y
_atom_site_fract_z
Li1 Li 0.0000 0.5000 0.5000
Li2 Li 0.5000 0.0000 0.5000
Li3 Li 0.5000 0.5000 0.0000
La1 La 0.1497 0.1497 0.1497
La2 La 0.8503 0.8503 0.8503
Ga1 Ga 0.5000 0.5000 0.5000
Cu1 Cu 0.0827 0.0827 0.6909
Cu2 Cu 0.0827 0.6909 0.0827
Cu3 Cu 0.1423 0.5707 0.5707
Cu4 Cu 0.3091 0.9173 0.9173
Cu5 Cu 0.4293 0.4293 0.8577
Cu6 Cu 0.4293 0.8577 0.4293
Cu7 Cu 0.5707 0.1423 0.5707
Cu8 Cu 0.5707 0.5707 0.1423
Cu9 Cu 0.6909 0.0827 0.0827
Cu10 Cu 0.8577 0.4293 0.4293
Cu11 Cu 0.9173 0.3091 0.9173
Cu12 Cu 0.9173 0.9173 0.3091

---

Entry 10:
# LiLa2GaCu6 (PBE-GGA, optimized geometry)
# space-group type	P-1, No. 2
data_LiLa2GaCu6
_chemical_formula_sum 'Li1 La2 Ga1 Cu6'
_space_group_name_H-M_alt 'P 1'
_space_group_IT_number 1
_space_group_name_Hall 'P 1'
_cell_length_a 5.1132
_cell_length_b 6.5456
_cell_length_c 6.6320
_cell_angle_alpha 83.54
_cell_angle_beta 67.42
_cell_angle_gamma 67.04
loop_
_atom_site_label
_atom_site_type_symbol
_atom_site_fract_x
_atom_site_fract_y
_atom_site_fract_z
Li1 Li 0.0000 0.0000 0.0000
La1 La 0.4553 0.3014 0.7884
La2 La 0.5447 0.6986 0.2116
Ga1 Ga 0.0000 0.5000 0.5000
Cu1 Cu 0.0009 0.7672 0.7314
Cu2 Cu 0.1756 0.0725 0.5768
Cu3 Cu 0.4989 0.2327 0.2687
Cu4 Cu 0.5011 0.7673 0.7313
Cu5 Cu 0.8244 0.9275 0.4232
Cu6 Cu 0.9991 0.2328 0.2686

---

Entry 11:
# LiLa2Ga4Cu3 (PBE-GGA, optimized geometry)
# space-group type	P-4m2, No. 115
data_LiLa2Ga4Cu3
_chemical_formula_sum 'Li1 La2 Ga4 Cu3'
_space_group_name_H-M_alt 'P 1'
_space_group_IT_number 1
_space_group_name_Hall 'P 1'
_cell_length_a 4.3520
_cell_length_b 4.3520
_cell_length_c 10.0556
_cell_angle_alpha 90.00
_cell_angle_beta 90.00
_cell_angle_gamma 90.00
loop_
_atom_site_label
_atom_site_type_symbol
_atom_site_fract_x
_atom_site_fract_y
_atom_site_fract_z
Li1 Li 0.0000 0.0000 0.0000
La1 La 0.0000 0.5000 0.7497
La2 La 0.5000 0.0000 0.2503
Ga1 Ga 0.0000 0.0000 0.5000
Ga2 Ga 0.0000 0.5000 0.1301
Ga3 Ga 0.5000 0.0000 0.8699
Ga4 Ga 0.5000 0.5000 0.5000
Cu1 Cu 0.0000 0.5000 0.3719
Cu2 Cu 0.5000 0.0000 0.6281
Cu3 Cu 0.5000 0.5000 0.0000

---

Entry 12:
# LiLaGa4Cu2 (PBE-GGA, optimized geometry)
# space-group type	R-3m, No. 166
data_LiLaGa4Cu2
_chemical_formula_sum 'Li1 La1 Ga4 Cu2'
_space_group_name_H-M_alt 'P 1'
_space_group_IT_number 1
_space_group_name_Hall 'P 1'
_cell_length_a 9.3009
_cell_length_b 9.3009
_cell_length_c 9.3009
_cell_angle_alpha 26.41
_cell_angle_beta 26.41
_cell_angle_gamma 26.41
loop_
_atom_site_label
_atom_site_type_symbol
_atom_site_fract_x
_atom_site_fract_y
_atom_site_fract_z
Li1 Li 0.0000 0.0000 0.0000
La1 La 0.5000 0.5000 0.5000
Ga1 Ga 0.0960 0.0960 0.0960
Ga2 Ga 0.3730 0.3730 0.3730
Ga3 Ga 0.6270 0.6270 0.6270
Ga4 Ga 0.9040 0.9040 0.9040
Cu1 Cu 0.2713 0.2713 0.2713
Cu2 Cu 0.7287 0.7287 0.7287

---

no.,calculated volume (A^3/atom),calculated formation energy (eV/atom),D(E_F) (states/eV per atom)
1,20.8,-0.233,0.76
2,15.2,-0.078,0.21
3,23.7,-0.401,0.98
4,22.5,0.060,0.62
5,28.1,-0.242,0.98
6,14.1,-0.107,0.28
7,27.9,-0.269,1.23
8,18.8,-0.365,0.75
9,16.3,0.079,0.33
10,18.9,-0.130,0.63
11,19.0,-0.424,0.59
12,17.5,-0.361,0.24